{
  "formula": "CaCd2I6",
  "functional": "PBE",
  "state": "relaxed",
  "spacegroup": "C2/c",
  "dos_at_fermi_per_ev_cell": 0.0,
  "formation_energy_uncorrected_ev_per_atom": -0.904,
  "cell": [[7.4246, -6.7985, 0.0000], [7.4246, 6.7985, 0.0000], [-1.4688, 0.0000, 7.8646]],
  "species": ["Ca", "Ca", "Cd", "Cd", "Cd", "Cd", "I", "I", "I", "I", "I", "I", "I", "I", "I", "I", "I", "I"],
  "frac_coords": [[0.1031, 0.8969, 0.7500], [0.8969, 0.1031, 0.2500], [0.2328, 0.3953, 0.6822], [0.3953, 0.2328, 0.1822], [0.6047, 0.7672, 0.8178], [0.7672, 0.6047, 0.3178], [0.0359, 0.1932, 0.6254], [0.1234, 0.6197, 0.8801], [0.1932, 0.0359, 0.1254], [0.2843, 0.4661, 0.3684], [0.3803, 0.8766, 0.6199], [0.4661, 0.2843, 0.8684], [0.5339, 0.7157, 0.1316], [0.6197, 0.1234, 0.3801], [0.7157, 0.5339, 0.6316], [0.8068, 0.9641, 0.8746], [0.8766, 0.3803, 0.1199], [0.9641, 0.8068, 0.3746]]
}



{
  "formula": "Li2SnP2",
  "functional": "PBE",
  "state": "relaxed",
  "spacegroup": "I4/mmm",
  "formation_energy_kj_per_mol_atoms": -30.5,
  "dos_at_fermi_per_ev_cell": 1.1,
  "cell": [[-2.0898, 2.0898, 5.0521], [2.0898, -2.0898, 5.0521], [2.0898, 2.0898, -5.0521]],
  "species": ["Li", "Li", "Sn", "P", "P"],
  "frac_coords": [[0.2500, 0.7500, 0.5000], [0.7500, 0.2500, 0.5000], [0.0000, 0.0000, 0.0000], [0.3917, 0.3917, 0.0000], [0.6083, 0.6083, 0.0000]]
}



{
  "formula": "Pm2BeCu3Ge4",
  "functional": "PBE",
  "state": "relaxed",
  "spacegroup": "P-4m2",
  "formation_energy_kj_per_mol_atoms": -46.2,
  "dos_at_fermi_per_ev_cell": 2.0,
  "cell": [[4.1139, 0.0000, 0.0000], [0.0000, 4.1139, 0.0000], [0.0000, 0.0000, 10.2411]],
  "species": ["Pm", "Pm", "Be", "Cu", "Cu", "Cu", "Ge", "Ge", "Ge", "Ge"],
  "frac_coords": [[0.0000, 0.5000, 0.2425], [0.5000, 0.0000, 0.7575], [0.5000, 0.5000, 0.0000], [0.0000, 0.0000, 0.0000], [0.0000, 0.5000, 0.6365], [0.5000, 0.0000, 0.3634], [0.0000, 0.0000, 0.5000], [0.0000, 0.5000, 0.8711], [0.5000, 0.0000, 0.1289], [0.5000, 0.5000, 0.5000]]
}



{
  "formula": "SmDy4Ho2Sc",
  "functional": "PBE",
  "state": "relaxed",
  "spacegroup": "P4/mmm",
  "formation_energy_kj_per_mol_atoms": 3.0,
  "dos_at_fermi_per_ev_cell": 11.7,
  "cell": [[4.9643, 0.0000, 0.0000], [0.0000, 4.9643, 0.0000], [0.0000, 0.0000, 9.9454]],
  "species": ["Sm", "Dy", "Dy", "Dy", "Dy", "Ho", "Ho", "Sc"],
  "frac_coords": [[0.0000, 0.0000, 0.0000], [0.0000, 0.5000, 0.2560], [0.0000, 0.5000, 0.7440], [0.5000, 0.0000, 0.2560], [0.5000, 0.0000, 0.7440], [0.0000, 0.0000, 0.5000], [0.5000, 0.5000, 0.0000], [0.5000, 0.5000, 0.5000]]
}



Question: Which formula does entry 3 have?
Answer: Pm2BeCu3Ge4